(1)
8
Lattice="3.219 0.000 0.000 -1.609 2.787 0.000 0.000 0.000 13.793" Properties=species:S:1:pos:R:3 comment="Nb4InAuN2 PBE-GGA optimized geometry" total_energy_ev_per_atom=-8.4376 volume_a3_per_cell=123.75 magmom_total_mub_per_cell=0.00 pbc="T T T"
Nb 0.000 0.000 2.241
Nb 0.000 0.000 11.553
Nb 0.000 1.858 4.498
Nb 0.000 1.858 9.296
In 0.000 0.000 6.897
Au 0.000 1.858 0.000
N 1.609 0.929 3.345
N 1.609 0.929 10.448


(2)
8
Lattice="3.255 0.000 0.000 -1.628 2.819 0.000 0.000 0.000 14.399" Properties=species:S:1:pos:R:3 comment="Sc4InAuN2 PBE-GGA optimized geometry" total_energy_ev_per_atom=-7.1983 volume_a3_per_cell=132.15 magmom_total_mub_per_cell=0.03 pbc="T T T"
Sc 0.000 0.000 2.226
Sc 0.000 0.000 12.173
Sc 0.000 1.879 4.677
Sc 0.000 1.879 9.722
In 0.000 0.000 7.199
Au 0.000 1.879 0.000
N 1.628 0.940 3.520
N 1.628 0.940 10.879


(3)
20
Lattice="-1.971 6.457 9.438 1.971 -6.457 9.438 1.971 6.457 -9.438" Properties=species:S:1:pos:R:3 comment="Sr8In4Au3N5 PBE-GGA optimized geometry" total_energy_ev_per_atom=-4.2972 volume_a3_per_cell=480.52 pbc="T T T"
Sr 1.971 4.521 -5.459
Sr 1.971 4.463 -1.859
Sr 0.000 1.936 3.979
Sr 1.971 4.463 1.859
Sr 0.000 1.995 7.579
Sr 1.971 4.521 5.459
Sr 0.000 1.995 11.297
Sr 0.000 1.936 14.897
In 1.971 0.000 1.577
In 0.000 1.954 0.000
In 0.000 10.961 0.000
In 0.000 6.457 7.861
Au 1.971 0.000 5.813
Au 0.000 6.457 0.000
Au 0.000 6.457 3.625
N 1.971 -2.098 5.779
N 1.971 2.098 5.779
N 0.000 0.000 9.438
N 0.000 4.359 3.659
N 0.000 8.555 3.659


(4)
8
Lattice="3.192 0.000 0.000 -1.596 2.764 0.000 0.000 0.000 13.769" Properties=species:S:1:pos:R:3 comment="Ta4InAuN2 PBE-GGA optimized geometry" total_energy_ev_per_atom=-9.2457 volume_a3_per_cell=121.46 magmom_total_mub_per_cell=0.00 pbc="T T T"
Ta 0.000 0.000 2.221
Ta 0.000 0.000 11.547
Ta 0.000 1.843 4.496
Ta 0.000 1.843 9.272
In 0.000 0.000 6.884
Au 0.000 1.843 0.000
N 1.596 0.921 3.334
N 1.596 0.921 10.435


(5)
8
Lattice="3.536 0.000 0.000 -1.768 3.062 0.000 0.000 0.000 15.182" Properties=species:S:1:pos:R:3 comment="Y4InAuN2 PBE-GGA optimized geometry" total_energy_ev_per_atom=-7.1414 volume_a3_per_cell=164.41 magmom_total_mub_per_cell=0.01 pbc="T T T"
Y 0.000 0.000 2.233
Y 0.000 0.000 12.949
Y 0.000 2.042 4.955
Y 0.000 2.042 10.227
In 0.000 0.000 7.591
Au 0.000 2.042 0.000
N 1.768 1.021 3.702
N 1.768 1.021 11.480


(6)
100
Lattice="5.567 0.000 0.000 0.000 25.978 0.000 0.000 0.000 15.189" Properties=species:S:1:pos:R:3 comment="Na8In6Au11 PBE-GGA optimized geometry" total_energy_ev_per_atom=-2.8602 volume_a3_per_cell=2196.64 pbc="T T T"
Na 1.270 1.842 3.797
Na 1.270 11.147 11.392
Na 1.279 13.299 8.504
Na 1.279 13.299 14.279
Na 1.279 25.668 0.910
Na 1.279 25.668 6.684
Na 1.284 16.589 9.683
Na 1.284 16.589 13.100
Na 1.284 22.378 2.089
Na 1.284 22.378 5.506
Na 1.309 16.688 3.797
Na 1.309 22.279 11.392
Na 1.341 5.144 8.573
Na 1.341 5.144 14.210
Na 1.341 7.845 0.979
Na 1.341 7.845 6.616
Na 4.226 18.133 8.573
Na 4.226 18.133 14.210
Na 4.226 20.834 0.979
Na 4.226 20.834 6.616
Na 4.258 3.699 3.797
Na 4.258 9.290 11.392
Na 4.283 3.600 9.683
Na 4.283 3.600 13.100
Na 4.283 9.389 2.089
Na 4.283 9.389 5.506
Na 4.288 0.310 8.504
Na 4.288 0.310 14.279
Na 4.288 12.679 0.910
Na 4.288 12.679 6.684
Na 4.297 14.831 3.797
Na 4.297 24.136 11.392
In 1.283 18.613 1.215
In 1.283 18.613 6.380
In 1.283 20.353 8.809
In 1.283 20.353 13.974
In 2.716 2.756 0.882
In 2.716 2.756 6.713
In 2.716 10.233 8.476
In 2.716 10.233 14.307
In 2.743 6.125 11.392
In 2.743 6.864 3.797
In 2.761 1.169 11.392
In 2.761 11.820 3.797
In 2.806 14.158 11.392
In 2.806 24.808 3.797
In 2.824 19.114 11.392
In 2.824 19.853 3.797
In 2.851 15.745 0.882
In 2.851 15.745 6.713
In 2.851 23.222 8.476
In 2.851 23.222 14.307
In 4.284 5.624 1.215
In 4.284 5.624 6.380
In 4.284 7.365 8.809
In 4.284 7.365 13.974
Au 0.103 15.932 0.844
Au 0.103 15.932 6.750
Au 0.103 23.035 8.438
Au 0.103 23.035 14.345
Au 0.129 19.203 11.392
Au 0.129 19.764 3.797
Au 0.141 14.163 11.392
Au 0.141 24.804 3.797
Au 1.423 1.986 9.010
Au 1.423 1.986 13.773
Au 1.427 3.723 11.392
Au 1.427 9.266 3.797
Au 1.423 11.003 1.416
Au 1.423 11.003 6.178
Au 1.449 13.853 2.318
Au 1.449 13.853 5.276
Au 1.449 25.114 9.912
Au 1.449 25.114 12.871
Au 1.525 4.941 2.159
Au 1.525 4.941 5.435
Au 1.525 8.048 9.754
Au 1.525 8.048 13.030
Au 4.043 17.929 2.159
Au 4.043 17.929 5.435
Au 4.043 21.037 9.754
Au 4.043 21.037 13.030
Au 4.118 0.864 2.318
Au 4.118 0.864 5.276
Au 4.118 12.125 9.912
Au 4.118 12.125 12.871
Au 4.144 14.975 9.010
Au 4.144 14.975 13.773
Au 4.140 16.712 11.392
Au 4.140 22.255 3.797
Au 4.144 23.992 1.416
Au 4.144 23.992 6.178
Au 5.427 1.174 11.392
Au 5.427 11.815 3.797
Au 5.439 6.214 11.392
Au 5.439 6.775 3.797
Au 5.465 2.943 0.844
Au 5.465 2.943 6.750
Au 5.465 10.046 8.438
Au 5.465 10.046 14.345